The following is a DFT calculation (PBE+U) of a geometry-optimized AlGaNi2O5 structure.

Lattice parameters (Å, degrees): 2.988 5.988 10.609 90.00 90.00 104.45
Each line ends with the local moment (μB).
Element x y z (fractional)
Al  0.257  0.514  0.022  0.00
Al  0.743  0.486  0.522  0.00
O  0.243  0.485  0.665  0.12
O  0.486  0.972  0.782  0.08
Ni  0.062  0.124  0.662  1.76
O  0.409  0.819  0.038  0.09
O  0.263  0.527  0.413  0.04
O  0.757  0.515  0.165  0.12
Ga  0.551  0.101  0.943  0.01
Ni  0.938  0.876  0.162  1.76
O  0.904  0.808  0.544  0.04
Ni  0.166  0.332  0.256  1.77
O  0.096  0.192  0.044  0.04
Ga  0.449  0.899  0.443  0.01
O  0.737  0.473  0.913  0.04
O  0.514  0.028  0.282  0.08
Ni  0.834  0.668  0.756  1.77
O  0.591  0.181  0.538  0.09

Size of the total moment: 4.0 μB per formula unit
Electronic total energy: -0.2130 Ha/atom
Theoretical density: 5.31 g/cm³